(1)
# Li2HfTi2S6, relaxed, DFT PBE
# Calculated volume   18.002 A^3/atom
# Formation energy from raw total energies   -1.455 eV per atom
data_Li2HfTi2S6
_space_group_name_H-M_alt 'C 1 2/m 1'
_space_group_IT_number 12
_cell_length_a 6.0484
_cell_length_b 10.5006
_cell_length_c 6.5498
_cell_angle_alpha 90.00
_cell_angle_beta 107.82
_cell_angle_gamma 90.00
loop_
_space_group_symop_operation_xyz
'x,y,z'
'-x,-y,-z'
'-x,y,-z'
'x,-y,z'
'x+1/2,y+1/2,z'
'-x+1/2,-y+1/2,-z'
'-x+1/2,y+1/2,-z'
'x+1/2,-y+1/2,z'
loop_
_atom_site_label
_atom_site_type_symbol
_atom_site_fract_x
_atom_site_fract_y
_atom_site_fract_z
Li1 Li 0.0000 0.1642 0.0000
Hf1 Hf 0.0000 0.0000 0.5000
Ti1 Ti 0.0000 0.3338 0.5000
S1 S 0.2364 0.5000 0.7370
S2 S 0.2481 0.1711 0.7360

=====

(2)
# Li2HfTl2S4, relaxed, DFT PBE
# Calculated volume   21.947 A^3/atom
# Formation energy from raw total energies   -1.085 eV per atom
data_Li2HfTl2S4
_space_group_name_H-M_alt 'C 1 2/m 1'
_space_group_IT_number 12
_cell_length_a 14.5013
_cell_length_b 3.8618
_cell_length_c 7.5150
_cell_angle_alpha 90.00
_cell_angle_beta 110.17
_cell_angle_gamma 90.00
loop_
_space_group_symop_operation_xyz
'x,y,z'
'-x,-y,-z'
'-x,y,-z'
'x,-y,z'
'x+1/2,y+1/2,z'
'-x+1/2,-y+1/2,-z'
'-x+1/2,y+1/2,-z'
'x+1/2,-y+1/2,z'
loop_
_atom_site_label
_atom_site_type_symbol
_atom_site_fract_x
_atom_site_fract_y
_atom_site_fract_z
Li1 Li 0.1799 0.0000 0.4774
Hf1 Hf 0.0000 0.5000 0.5000
Tl1 Tl 0.1406 0.5000 0.0571
S1 S 0.0128 0.0000 0.2780
S2 S 0.1876 0.5000 0.6649

=====

(3)
# Li2TmHf2S6, relaxed, DFT PBE
# Calculated volume   20.006 A^3/atom
# Formation energy from raw total energies   -1.648 eV per atom
data_Li2TmHf2S6
_space_group_name_H-M_alt 'C 1 2/m 1'
_space_group_IT_number 12
_cell_length_a 6.3742
_cell_length_b 11.1177
_cell_length_c 6.5678
_cell_angle_alpha 90.00
_cell_angle_beta 108.98
_cell_angle_gamma 90.00
loop_
_space_group_symop_operation_xyz
'x,y,z'
'-x,-y,-z'
'-x,y,-z'
'x,-y,z'
'x+1/2,y+1/2,z'
'-x+1/2,-y+1/2,-z'
'-x+1/2,y+1/2,-z'
'x+1/2,-y+1/2,z'
loop_
_atom_site_label
_atom_site_type_symbol
_atom_site_fract_x
_atom_site_fract_y
_atom_site_fract_z
Li1 Li 0.0000 0.1658 0.0000
Tm1 Tm 0.0000 0.0000 0.5000
Hf1 Hf 0.0000 0.3346 0.5000
S1 S 0.2359 0.5000 0.7435
S2 S 0.2481 0.3254 0.2586